# 1
Density functional theory data (PBE) for a relaxed structure of DyBeGa2Cu4.

abc: 8.478 8.478 8.478
angles: 27.96 27.96 27.96
Fractional coordinates of all 8 atoms:
Dy (0.000, 0.000, 0.000)
Be (0.500, 0.500, 0.500)
Ga (0.245, 0.245, 0.245)
Ga (0.755, 0.755, 0.755)
Cu (0.138, 0.138, 0.138)
Cu (0.409, 0.409, 0.409)
Cu (0.591, 0.591, 0.591)
Cu (0.862, 0.862, 0.862)

Results
calculated density = 7.93 g cm⁻³
Fermi-level density of states = 0.426 states/eV per atom
formation energy from the elements = -0.207 eV per atom

=====

# 2
Density functional theory data (PBE) for a relaxed structure of CsV2PdW.

abc: 4.937 4.937 5.031
angles: 90.00 90.00 90.00
Fractional coordinates of all 5 atoms:
Cs (0.000, 0.000, 0.000)
V (0.000, 0.500, 0.500)
V (0.500, 0.000, 0.500)
Pd (0.500, 0.500, 0.500)
W (0.500, 0.500, 0.000)

Results
calculated density = 7.11 g cm⁻³
Fermi-level density of states = 2.795 states/eV per atom
formation energy from the elements = 1.946 eV per atom